PBE KLa2C2N6, relaxed; size of the total moment = 1.02 μB/f.u.; crystal system = triclinic; uncorrected formation energy = -373 meV/atom; space-group type = No. 2
1.0
6.5752 0.0195 -0.0037
3.2971 5.1515 0.1360
-0.0129 -2.7198 5.8658
La N C K
2 6 2 1
Direct
0.8309 0.3379 0.7994 La
0.1691 0.6621 0.2006 La
0.3917 0.5537 0.8003 N
0.0511 0.5562 0.8012 N
0.9166 0.1702 0.3665 N
0.0834 0.8298 0.6335 N
0.6083 0.4463 0.1997 N
0.9489 0.4438 0.1988 N
0.1727 0.6518 0.7391 C
0.8273 0.3482 0.2609 C
0.5000 0.0000 0.5000 K

PBE K2LaC2O6, relaxed; size of the total moment = 0.00 μB/f.u.; crystal system = trigonal; uncorrected formation energy = -1867 meV/atom; space-group type = No. 147
1.0
5.8661 0.0000 0.0000
-2.9331 5.0802 0.0000
0.0000 0.0000 6.3014
O K La C
6 2 1 2
Direct
0.7878 0.1968 0.1975 O
0.8032 0.5910 0.1975 O
0.5910 0.7878 0.8025 O
0.4090 0.2122 0.1975 O
0.2122 0.8032 0.8025 O
0.1968 0.4090 0.8025 O
0.3333 0.6667 0.3331 K
0.6667 0.3333 0.6669 K
0.0000 0.0000 0.0000 La
0.6667 0.3333 0.1841 C
0.3333 0.6667 0.8159 C

Q: Which of these has the lowest uncorrected formation energy?
A: K2LaC2O6

Q: The lowest uncorrected formation energy belongs to which entry?
A: K2LaC2O6